Version P
Density functional theory data (PBE) for a geometry-optimized Rb2GeN structure.

## Properties
Theoretical density in g/cm³: 3.67
D(E_F) in states/eV/cell: 4.98
Space-group type: Fm-3m (225)

Unit cell a=5.4829 b=5.4829 c=5.4829 alpha=60.00 beta=60.00 gamma=60.00
Positions (direct):
Rb1 0.7500 0.7500 0.7500
Rb2 0.2500 0.2500 0.2500
N1 0.0000 0.0000 0.0000
Ge1 0.5000 0.5000 0.5000


Version Q
Density functional theory data (PBE) for a geometry-optimized Rb2GeN structure.

## Properties
Theoretical density in g/cm³: 2.76
D(E_F) in states/eV/cell: 10.15
Space-group type: I-42d (122)

Unit cell a=12.5215 b=12.5215 c=9.0719 alpha=46.36 beta=46.36 gamma=90.00
Positions (direct):
Ge1 0.0000 0.0000 0.0000
Ge2 0.7500 0.2500 0.5000
Rb1 0.8750 0.6513 0.7500
Rb2 0.3750 0.5987 0.7500
Rb3 0.4013 0.1250 0.2500
Rb4 0.3487 0.6250 0.2500
N1 0.2500 0.7500 0.5000
N2 0.5000 0.5000 0.0000


Quick one: least stable of them? version P